1.
Density functional theory data (PBE) for crystalline SrBi2IrAu at its relaxed geometry.

abc: 5.498 5.498 5.161
angles: 90.00 90.00 90.00
Space group P4/mmm (No. 123)
One atom of each set of equivalent atoms:
Sr (0.000, 0.000, 0.000) x1
Bi (0.000, 0.500, 0.500) x2
Ir (0.500, 0.500, 0.000) x1
Au (0.500, 0.500, 0.500) x1

Results
For the formation energy from the elements, the calculation gives 416.1 meV per atom. The density of states at the Fermi level is 5.1 states/eV/f.u.

---

2.
Density functional theory data (PBE) for crystalline K3Bi3Au2 at its relaxed geometry.

abc: 5.060 12.177 17.112
angles: 90.00 90.00 90.00
Space group Cmcm (No. 63)
One atom of each set of equivalent atoms:
K (0.000, 0.091, 0.118) x8
K (0.000, 0.396, 0.250) x4
Bi (0.000, 0.302, 0.750) x4
Bi (0.000, 0.375, 0.028) x8
Au (0.000, 0.196, 0.602) x8

Results
For the formation energy from the elements, the calculation gives -305.5 meV per atom. The density of states at the Fermi level is 4.8 states/eV/f.u. The value obtained for the energy above the most stable polymorph in this dataset is 0 meV/atom.

---

What is the formula in the second record?
K3Bi3Au2

---

Look up the formation energy from the elements of the second one.
-305.5 meV per atom

---

Which formula does entry 1 have?
SrBi2IrAu